LaMn3Pb PBE optimized geometry; DOS at the Fermi energy = 1.351 states/eV/atom; space group = No. 221; theoretical density = 6.36 g/cm³; formation enthalpy at 0 K = 884 meV per atom; ΔE to the lowest computed polymorph = 0 meV per atom
1.0
5.1105 0.0000 0.0000
0.0000 5.1105 0.0000
0.0000 0.0000 5.1105
La Mn Pb
1 3 1
direct
0.0000 0.0000 0.0000 La
0.0000 0.5000 0.5000 Mn
0.5000 0.0000 0.5000 Mn
0.5000 0.5000 0.0000 Mn
0.5000 0.5000 0.5000 Pb

***

Ti6CO2 PBE optimized geometry; formation energy without anion corrections = -1420.8 meV per atom; DOS at the Fermi energy = 0.874 states/eV/atom; space group = No. 58; theoretical density = 4.86 g/cm³
1.0
4.7912 0.0000 0.0000
0.0000 5.2406 0.0000
0.0000 0.0000 9.0065
Ti C O
12 2 4
direct
0.2488 0.1680 0.1666 Ti
0.2488 0.1680 0.8334 Ti
0.2486 0.6702 0.0000 Ti
0.2514 0.1702 0.5000 Ti
0.2512 0.6680 0.3334 Ti
0.2512 0.6680 0.6666 Ti
0.7488 0.3320 0.3334 Ti
0.7488 0.3320 0.6666 Ti
0.7486 0.8298 0.5000 Ti
0.7514 0.3298 0.0000 Ti
0.7512 0.8320 0.1666 Ti
0.7512 0.8320 0.8334 Ti
0.0000 0.5000 0.5000 C
0.5000 0.0000 0.0000 C
0.0000 0.0000 0.3352 O
0.0000 0.0000 0.6648 O
0.5000 0.5000 0.1648 O
0.5000 0.5000 0.8352 O

***

Ba3Dy2NpN6 PBE optimized geometry; formation energy without anion corrections = -1019.2 meV per atom; DOS at the Fermi energy = 0.386 states/eV/atom; space group = No. 12; theoretical density = 8.26 g/cm³
1.0
3.1048 -5.3516 0.0000
3.1048 5.3516 0.0000
-2.0510 0.0000 6.3991
Ba Dy Np N
3 2 1 6
direct
0.0000 0.0000 0.0000 Ba
0.3288 0.6712 0.0000 Ba
0.6712 0.3288 0.0000 Ba
0.1659 0.8341 0.5000 Dy
0.8341 0.1659 0.5000 Dy
0.5000 0.5000 0.5000 Np
0.1406 0.4392 0.3189 N
0.2598 0.2598 0.6926 N
0.4392 0.1406 0.3189 N
0.5608 0.8594 0.6811 N
0.7402 0.7402 0.3074 N
0.8594 0.5608 0.6811 N

***

AlV4Ga2 PBE optimized geometry; DOS at the Fermi energy = 0.787 states/eV/atom; space group = No. 136; theoretical density = 5.41 g/cm³; formation enthalpy at 0 K = 146 meV per atom; ΔE to the lowest computed polymorph = 188 meV per atom
1.0
8.8178 0.0000 0.0000
0.0000 8.8178 0.0000
0.0000 0.0000 2.9205
Al V Ga
2 8 4
direct
0.0000 0.0000 0.0000 Al
0.5000 0.5000 0.5000 Al
0.0012 0.3367 0.5000 V
0.1633 0.5012 0.0000 V
0.3367 0.0012 0.5000 V
0.4988 0.8367 0.0000 V
0.5012 0.1633 0.0000 V
0.6633 0.9988 0.5000 V
0.8367 0.4988 0.0000 V
0.9988 0.6633 0.5000 V
0.2103 0.7897 0.0000 Ga
0.2897 0.2897 0.5000 Ga
0.7103 0.7103 0.5000 Ga
0.7897 0.2103 0.0000 Ga

***

KInSnBr4 PBE optimized geometry; formation energy without anion corrections = -973.0 meV per atom; space group = No. 107; theoretical density = 3.46 g/cm³
1.0
-2.9205 2.9205 8.3222
2.9205 -2.9205 8.3222
2.9205 2.9205 -8.3222
K In Sn Br
1 1 1 4
direct
0.0000 0.0000 0.0000 K
0.7247 0.7247 0.0000 In
0.3665 0.3665 0.0000 Sn
0.1964 0.1964 0.0000 Br
0.3788 0.8788 0.5000 Br
0.5537 0.5537 0.0000 Br
0.8788 0.3788 0.5000 Br

***

Ca8Bi5I PBE optimized geometry; formation energy without anion corrections = -956.0 meV per atom; space group = No. 82; theoretical density = 5.37 g/cm³
1.0
-4.8653 4.8653 4.8776
4.8653 -4.8653 4.8776
4.8653 4.8653 -4.8776
Ca Bi I
8 5 1
direct
0.0251 0.6176 0.7405 Ca
0.2430 0.5039 0.1071 Ca
0.3824 0.1229 0.4075 Ca
0.3968 0.1359 0.8929 Ca
0.4961 0.6032 0.7392 Ca
0.7154 0.9749 0.5925 Ca
0.8641 0.7570 0.2608 Ca
0.8771 0.2846 0.2595 Ca
0.1146 0.2331 0.6171 Bi
0.2500 0.7500 0.5000 Bi
0.5025 0.8854 0.1185 Bi
0.6160 0.4975 0.3829 Bi
0.7669 0.3840 0.8815 Bi
0.0000 0.0000 0.0000 I

***

TlPdN PBE optimized geometry; formation energy without anion corrections = 30.6 meV per atom; DOS at the Fermi energy = 0.238 states/eV/atom; space group = No. 14; theoretical density = 6.39 g/cm³; ΔE to the lowest computed polymorph = 0 meV per atom
1.0
12.2774 0.0000 0.0000
0.0000 4.5005 0.0000
-0.2530 0.0000 6.1068
Tl Pd N
4 4 4
direct
0.1422 0.2500 0.0119 Tl
0.1422 0.2500 0.5119 Tl
0.8578 0.7500 0.4881 Tl
0.8578 0.7500 0.9881 Tl
0.0768 0.7500 0.2565 Pd
0.0768 0.7500 0.7565 Pd
0.9232 0.2500 0.2435 Pd
0.9232 0.2500 0.7435 Pd
0.4717 0.5967 0.4990 N
0.4717 0.9033 0.9990 N
0.5283 0.0967 0.0010 N
0.5283 0.4033 0.5010 N

***

B2PC PBE optimized geometry; DOS at the Fermi energy = 0.347 states/eV/atom; space group = No. 225; theoretical density = 3.25 g/cm³; formation enthalpy at 0 K = 2270 meV per atom; ΔE to the lowest computed polymorph = 2194 meV per atom
1.0
0.0000 2.5458 2.5458
2.5458 0.0000 2.5458
2.5458 2.5458 0.0000
B P C
2 1 1
direct
0.2500 0.2500 0.2500 B
0.7500 0.7500 0.7500 B
0.0000 0.0000 0.0000 P
0.5000 0.5000 0.5000 C

***

Be4CuPt3 PBE optimized geometry; DOS at the Fermi energy = 0.102 states/eV/atom; space group = No. 123; theoretical density = 12.71 g/cm³; formation enthalpy at 0 K = -601 meV per atom
1.0
2.7952 0.0000 0.0000
0.0000 2.7952 0.0000
0.0000 0.0000 11.4556
Be Cu Pt
4 1 3
direct
0.0000 0.0000 0.1151 Be
0.0000 0.0000 0.3709 Be
0.0000 0.0000 0.6291 Be
0.0000 0.0000 0.8849 Be
0.5000 0.5000 0.0000 Cu
0.5000 0.5000 0.2432 Pt
0.5000 0.5000 0.5000 Pt
0.5000 0.5000 0.7568 Pt

***

Li2Pd2Au PBE optimized geometry; DOS at the Fermi energy = 0.248 states/eV/atom; space group = No. 127; theoretical density = 9.40 g/cm³; formation enthalpy at 0 K = -323 meV per atom; ΔE to the lowest computed polymorph = 82 meV per atom
1.0
7.1795 0.0000 0.0000
0.0000 7.1795 0.0000
0.0000 0.0000 2.9028
Li Pd Au
4 4 2
direct
0.1647 0.3353 0.0000 Li
0.3353 0.8353 0.0000 Li
0.6647 0.1647 0.0000 Li
0.8353 0.6647 0.0000 Li
0.1346 0.6346 0.5000 Pd
0.3654 0.1346 0.5000 Pd
0.6346 0.8654 0.5000 Pd
0.8654 0.3654 0.5000 Pd
0.0000 0.0000 0.5000 Au
0.5000 0.5000 0.5000 Au

***

Tb6SmSc PBE optimized geometry; DOS at the Fermi energy = 1.575 states/eV/atom; space group = No. 123; theoretical density = 7.64 g/cm³; formation enthalpy at 0 K = 33 meV per atom; ΔE to the lowest computed polymorph = 0 meV per atom
1.0
5.0073 0.0000 0.0000
0.0000 5.0073 0.0000
0.0000 0.0000 9.9555
Tb Sm Sc
6 1 1
direct
0.0000 0.0000 0.0000 Tb
0.0000 0.0000 0.5000 Tb
0.0000 0.5000 0.2437 Tb
0.0000 0.5000 0.7563 Tb
0.5000 0.0000 0.2437 Tb
0.5000 0.0000 0.7563 Tb
0.5000 0.5000 0.5000 Sm
0.5000 0.5000 0.0000 Sc

***

Ac6Sb3Te2Se PBE optimized geometry; formation energy without anion corrections = -1446.4 meV per atom; DOS at the Fermi energy = 0.442 states/eV/atom; space group = No. 12; theoretical density = 7.63 g/cm³
1.0
10.2915 -2.3709 0.0000
10.2915 2.3709 0.0000
-2.0975 0.0000 9.1978
Ac Sb Te Se
6 3 2 1
direct
0.0030 0.0030 0.2568 Ac
0.3356 0.3356 0.9113 Ac
0.3369 0.3369 0.4241 Ac
0.6631 0.6631 0.5759 Ac
0.6644 0.6644 0.0887 Ac
0.9970 0.9970 0.7432 Ac
0.1690 0.1690 0.3350 Sb
0.5000 0.5000 0.0000 Sb
0.8310 0.8310 0.6650 Sb
0.1660 0.1660 0.8331 Te
0.8340 0.8340 0.1669 Te
0.5000 0.5000 0.5000 Se